# Sm3HoPd3 PBE relaxed
data_Sm3HoPd3
_chemical_formula_sum 'Sm9 Ho3 Pd9'
_space_group_name_H-M_alt 'R 3 m'
_space_group_IT_number 160
_space_group_name_Hall 'R 3 -2"'
_cell_length_a 9.9518
_cell_length_b 9.9518
_cell_length_c 6.1482
_cell_angle_alpha 90.00
_cell_angle_beta 90.00
_cell_angle_gamma 120.00
loop_
_atom_site_label
_atom_site_fract_x
_atom_site_fract_y
_atom_site_fract_z
Sm1 0.0463 0.5231 0.0000
Ho1 0.0000 0.0000 0.9075
Pd1 0.0044 0.5022 0.4775
# energy of formation from the pure elements	-654	meV per atom
# E	-116.7	eV/cell
# crystal system	trigonal